The following is a PBE calculation of crystalline MoPdPb3 at its relaxed geometry, from Alexandria.

The structure in extended XYZ format:
```
5
Lattice="5.347 0.000 0.000 0.000 5.347 0.000 0.000 0.000 5.347" Properties=species:S:1:pos:R:3 pbc="T T T"
Pb 0.000 2.673 0.000
Pb 0.000 0.000 2.673
Pb 2.673 0.000 0.000
Mo 0.000 0.000 0.000
Pd 2.673 2.673 2.673
```

Calculated values
E_tot in eV for the cell shown: -23.44
ΔE to the lowest computed polymorph in meV/atom: 0.0

=====

The following is a PBE calculation of crystalline ZnInMo2 at its relaxed geometry, from Alexandria.

The structure in extended XYZ format:
```
4
Lattice="5.299 0.000 0.001 -2.454 4.696 0.001 0.357 0.589 2.695" Properties=species:S:1:pos:R:3 pbc="T T T"
In -1.049 2.642 1.348
Mo 0.000 0.000 0.000
Mo 1.422 2.348 0.001
Zn 2.828 0.295 1.348
```

Calculated values
E_tot in eV for the cell shown: -24.41
ΔE to the lowest computed polymorph in meV/atom: 163.4

=====

The following is a PBE calculation of crystalline LiAc2ZnPt6 at its relaxed geometry, from Alexandria.

The structure in extended XYZ format:
```
10
Lattice="8.495 -0.067 1.883 0.041 5.745 0.029 5.676 2.805 5.985" Properties=species:S:1:pos:R:3 pbc="T T T"
Li 0.000 0.000 0.000
Ac 4.144 5.703 2.889
Ac 10.068 2.780 5.009
Zn 4.268 2.839 0.956
Pt 2.194 4.307 0.538
Pt 12.039 7.077 7.374
Pt 4.919 2.821 3.447
Pt 12.018 4.177 7.359
Pt 2.173 1.406 0.523
Pt 9.292 5.662 4.450
```

Calculated values
E_tot in eV for the cell shown: -54.40

=====

The following is a PBE calculation of crystalline RbSr3 at its relaxed geometry, from Alexandria.

The structure in extended XYZ format:
```
4
Lattice="4.294 0.000 0.000 0.000 7.226 0.000 0.000 0.000 7.770" Properties=species:S:1:pos:R:3 pbc="T T T"
Sr 0.000 0.000 7.740
Sr 2.147 0.000 4.023
Sr 2.147 3.613 6.426
Rb 0.000 3.613 2.532
```

Calculated values
E_tot in eV for the cell shown: -5.58
ΔE to the lowest computed polymorph in meV/atom: 40.7

=====

Number 1: formation enthalpy at 0 K 3.707 eV/f.u.. Number 2: formation enthalpy at 0 K 1.267 eV/f.u.. Number 3: formation enthalpy at 0 K -6.747 eV/f.u.. Number 4: formation enthalpy at 0 K 0.434 eV/f.u..